<P>
VASP calculation (GGA-PBEsol) on an optimized crystal structure of PdRuN2.

Structure (CIF):
```
data_PdRuN2
_chemical_formula_sum 'Pd4 Ru4 N8'
_space_group_name_H-M_alt 'F m -3 m'
_space_group_IT_number 225
_space_group_name_Hall '-F 4 2 3'
_cell_length_a 5.3659
_cell_length_b 5.3659
_cell_length_c 5.3659
_cell_angle_alpha 90.00
_cell_angle_beta 90.00
_cell_angle_gamma 90.00
loop_
_atom_site_label
_atom_site_type_symbol
_atom_site_fract_x
_atom_site_fract_y
_atom_site_fract_z
_atom_site_occupancy
Pd1 Pd 0.0000 0.0000 0.0000 1
Ru1 Ru 0.0000 0.0000 0.5000 1
N1 N 0.2500 0.2500 0.2500 1
```

Properties
DOS(E_F), states/eV/f.u.: 3.42
Volume, Å³/cell: 154.5

<Q>
VASP calculation (GGA-PBEsol) on an optimized crystal structure of PdRuN2.

Structure (CIF):
```
data_PdRuN2
_chemical_formula_sum 'Pd3 Ru3 N6'
_space_group_name_H-M_alt 'R -3 m'
_space_group_IT_number 166
_space_group_name_Hall '-R 3 2"'
_cell_length_a 2.8130
_cell_length_b 2.8130
_cell_length_c 19.0374
_cell_angle_alpha 90.00
_cell_angle_beta 90.00
_cell_angle_gamma 120.00
loop_
_atom_site_label
_atom_site_type_symbol
_atom_site_fract_x
_atom_site_fract_y
_atom_site_fract_z
_atom_site_occupancy
Pd1 Pd 0.0000 0.0000 0.0000 1
Ru1 Ru 0.0000 0.0000 0.5000 1
N1 N 0.0000 0.0000 0.1022 1
```

Properties
DOS(E_F), states/eV/f.u.: 3.59
Volume, Å³/cell: 130.5

Stability, highest: <Q>

<P>
VASP calculation (GGA-PBEsol) on an optimized crystal structure of PtRhSeN2.

Structure (CIF):
```
data_PtRhSeN2
_chemical_formula_sum 'Pt1 Rh1 Se1 N2'
_space_group_name_H-M_alt 'P 4/m m m'
_space_group_IT_number 123
_space_group_name_Hall '-P 4 2'
_cell_length_a 3.6648
_cell_length_b 3.6648
_cell_length_c 5.6105
_cell_angle_alpha 90.00
_cell_angle_beta 90.00
_cell_angle_gamma 90.00
loop_
_atom_site_label
_atom_site_type_symbol
_atom_site_fract_x
_atom_site_fract_y
_atom_site_fract_z
_atom_site_occupancy
Pt1 Pt 0.0000 0.0000 0.0000 1
Rh1 Rh 0.5000 0.5000 0.5000 1
Se1 Se 0.5000 0.5000 0.0000 1
N1 N 0.0000 0.5000 0.5000 1
```

Properties
DOS(E_F), states/eV/f.u.: 3.09
Volume, Å³/cell: 75.4

<Q>
VASP calculation (GGA-PBEsol) on an optimized crystal structure of PtRhSeN2.

Structure (CIF):
```
data_PtRhSeN2
_chemical_formula_sum 'Pt1 Rh1 Se1 N2'
_space_group_name_H-M_alt 'P 4/m m m'
_space_group_IT_number 123
_space_group_name_Hall '-P 4 2'
_cell_length_a 3.6254
_cell_length_b 3.6254
_cell_length_c 7.0611
_cell_angle_alpha 90.00
_cell_angle_beta 90.00
_cell_angle_gamma 90.00
loop_
_atom_site_label
_atom_site_type_symbol
_atom_site_fract_x
_atom_site_fract_y
_atom_site_fract_z
_atom_site_occupancy
Pt1 Pt 0.0000 0.0000 0.0000 1
Rh1 Rh 0.5000 0.5000 0.5000 1
Se1 Se 0.0000 0.0000 0.5000 1
N1 N 0.0000 0.5000 0.0000 1
```

Properties
DOS(E_F), states/eV/f.u.: 4.84
Volume, Å³/cell: 92.8

Stability, highest: <P>

<P>
VASP calculation (GGA-PBEsol) on an optimized crystal structure of ScTe2PtN.

Structure (CIF):
```
data_ScTe2PtN
_chemical_formula_sum 'Sc1 Te2 Pt1 N1'
_space_group_name_H-M_alt 'P 4/m m m'
_space_group_IT_number 123
_space_group_name_Hall '-P 4 2'
_cell_length_a 5.4933
_cell_length_b 5.4933
_cell_length_c 3.6788
_cell_angle_alpha 90.00
_cell_angle_beta 90.00
_cell_angle_gamma 90.00
loop_
_atom_site_label
_atom_site_type_symbol
_atom_site_fract_x
_atom_site_fract_y
_atom_site_fract_z
_atom_site_occupancy
Sc1 Sc 0.0000 0.0000 0.0000 1
Te1 Te 0.0000 0.5000 0.0000 1
Pt1 Pt 0.5000 0.5000 0.5000 1
N1 N 0.0000 0.0000 0.5000 1
```

Properties
DOS(E_F), states/eV/f.u.: 3.25
Volume, Å³/cell: 111.0

<Q>
VASP calculation (GGA-PBEsol) on an optimized crystal structure of ScTe2PtN.

Structure (CIF):
```
data_ScTe2PtN
_chemical_formula_sum 'Sc1 Te2 Pt1 N1'
_space_group_name_H-M_alt 'P 4/m m m'
_space_group_IT_number 123
_space_group_name_Hall '-P 4 2'
_cell_length_a 5.4729
_cell_length_b 5.4729
_cell_length_c 3.6835
_cell_angle_alpha 90.00
_cell_angle_beta 90.00
_cell_angle_gamma 90.00
loop_
_atom_site_label
_atom_site_type_symbol
_atom_site_fract_x
_atom_site_fract_y
_atom_site_fract_z
_atom_site_occupancy
Sc1 Sc 0.0000 0.0000 0.0000 1
Te1 Te 0.0000 0.5000 0.5000 1
Pt1 Pt 0.5000 0.5000 0.5000 1
N1 N 0.5000 0.5000 0.0000 1
```

Properties
DOS(E_F), states/eV/f.u.: 3.08
Volume, Å³/cell: 110.3

Stability, highest: <Q>

<P>
VASP calculation (GGA-PBEsol) on an optimized crystal structure of ZrPtSeN2.

Structure (CIF):
```
data_ZrPtSeN2
_chemical_formula_sum 'Zr1 Pt1 Se1 N2'
_space_group_name_H-M_alt 'P 4/m m m'
_space_group_IT_number 123
_space_group_name_Hall '-P 4 2'
_cell_length_a 3.9067
_cell_length_b 3.9067
_cell_length_c 4.9221
_cell_angle_alpha 90.00
_cell_angle_beta 90.00
_cell_angle_gamma 90.00
loop_
_atom_site_label
_atom_site_type_symbol
_atom_site_fract_x
_atom_site_fract_y
_atom_site_fract_z
_atom_site_occupancy
Zr1 Zr 0.0000 0.0000 0.0000 1
Pt1 Pt 0.5000 0.5000 0.5000 1
Se1 Se 0.5000 0.5000 0.0000 1
N1 N 0.0000 0.5000 0.5000 1
```

Properties
DOS(E_F), states/eV/f.u.: 4.09
Volume, Å³/cell: 75.1

<Q>
VASP calculation (GGA-PBEsol) on an optimized crystal structure of ZrPtSeN2.

Structure (CIF):
```
data_ZrPtSeN2
_chemical_formula_sum 'Zr1 Pt1 Se1 N2'
_space_group_name_H-M_alt 'P 4/m m m'
_space_group_IT_number 123
_space_group_name_Hall '-P 4 2'
_cell_length_a 3.9611
_cell_length_b 3.9611
_cell_length_c 5.6250
_cell_angle_alpha 90.00
_cell_angle_beta 90.00
_cell_angle_gamma 90.00
loop_
_atom_site_label
_atom_site_type_symbol
_atom_site_fract_x
_atom_site_fract_y
_atom_site_fract_z
_atom_site_occupancy
Zr1 Zr 0.0000 0.0000 0.0000 1
Pt1 Pt 0.5000 0.5000 0.5000 1
Se1 Se 0.0000 0.0000 0.5000 1
N1 N 0.0000 0.5000 0.0000 1
```

Properties
DOS(E_F), states/eV/f.u.: 5.31
Volume, Å³/cell: 88.3

Stability, highest: <P>

<P>
VASP calculation (GGA-PBEsol) on an optimized crystal structure of RbRhN2.

Structure (CIF):
```
data_RbRhN2
_chemical_formula_sum 'Rb4 Rh4 N8'
_space_group_name_H-M_alt 'F m -3 m'
_space_group_IT_number 225
_space_group_name_Hall '-F 4 2 3'
_cell_length_a 5.8434
_cell_length_b 5.8434
_cell_length_c 5.8434
_cell_angle_alpha 90.00
_cell_angle_beta 90.00
_cell_angle_gamma 90.00
loop_
_atom_site_label
_atom_site_type_symbol
_atom_site_fract_x
_atom_site_fract_y
_atom_site_fract_z
_atom_site_occupancy
Rb1 Rb 0.0000 0.0000 0.0000 1
Rh1 Rh 0.0000 0.0000 0.5000 1
N1 N 0.2500 0.2500 0.2500 1
```

Properties
DOS(E_F), states/eV/f.u.: 2.10
Volume, Å³/cell: 199.5

<Q>
VASP calculation (GGA-PBEsol) on an optimized crystal structure of RbRhN2.

Structure (CIF):
```
data_RbRhN2
_chemical_formula_sum 'Rb4 Rh4 N8'
_space_group_name_H-M_alt 'I -4 2 d'
_space_group_IT_number 122
_space_group_name_Hall 'I -4 2bw'
_cell_length_a 5.9434
_cell_length_b 5.9434
_cell_length_c 7.6381
_cell_angle_alpha 90.00
_cell_angle_beta 90.00
_cell_angle_gamma 90.00
loop_
_atom_site_label
_atom_site_type_symbol
_atom_site_fract_x
_atom_site_fract_y
_atom_site_fract_z
_atom_site_occupancy
Rb1 Rb 0.0000 0.0000 0.0000 1
Rh1 Rh 0.0000 0.0000 0.5000 1
N1 N 0.1081 0.7500 0.6250 1
```

Properties
DOS(E_F), states/eV/f.u.: 2.28
Volume, Å³/cell: 269.8

Stability, highest: <Q>

<P>
VASP calculation (GGA-PBEsol) on an optimized crystal structure of RbSeSN2.

Structure (CIF):
```
data_RbSeSN2
_chemical_formula_sum 'Rb1 Se1 S1 N2'
_space_group_name_H-M_alt 'P 4/m m m'
_space_group_IT_number 123
_space_group_name_Hall '-P 4 2'
_cell_length_a 4.2527
_cell_length_b 4.2527
_cell_length_c 4.8957
_cell_angle_alpha 90.00
_cell_angle_beta 90.00
_cell_angle_gamma 90.00
loop_
_atom_site_label
_atom_site_type_symbol
_atom_site_fract_x
_atom_site_fract_y
_atom_site_fract_z
_atom_site_occupancy
Rb1 Rb 0.0000 0.0000 0.0000 1
Se1 Se 0.5000 0.5000 0.5000 1
S1 S 0.5000 0.5000 0.0000 1
N1 N 0.0000 0.5000 0.5000 1
```

Properties
DOS(E_F), states/eV/f.u.: 1.79
Volume, Å³/cell: 88.5

<Q>
VASP calculation (GGA-PBEsol) on an optimized crystal structure of RbSeSN2.

Structure (CIF):
```
data_RbSeSN2
_chemical_formula_sum 'Rb1 Se1 S1 N2'
_space_group_name_H-M_alt 'P 4/m m m'
_space_group_IT_number 123
_space_group_name_Hall '-P 4 2'
_cell_length_a 4.9118
_cell_length_b 4.9118
_cell_length_c 6.5135
_cell_angle_alpha 90.00
_cell_angle_beta 90.00
_cell_angle_gamma 90.00
loop_
_atom_site_label
_atom_site_type_symbol
_atom_site_fract_x
_atom_site_fract_y
_atom_site_fract_z
_atom_site_occupancy
Rb1 Rb 0.0000 0.0000 0.0000 1
Se1 Se 0.0000 0.0000 0.5000 1
S1 S 0.5000 0.5000 0.5000 1
N1 N 0.0000 0.5000 0.0000 1
```

Properties
DOS(E_F), states/eV/f.u.: 4.17
Volume, Å³/cell: 157.1

Stability, highest: <P>

<P>
VASP calculation (GGA-PBEsol) on an optimized crystal structure of RbScTeN2.

Structure (CIF):
```
data_RbScTeN2
_chemical_formula_sum 'Rb1 Sc1 Te1 N2'
_space_group_name_H-M_alt 'P 4/m m m'
_space_group_IT_number 123
_space_group_name_Hall '-P 4 2'
_cell_length_a 4.5438
_cell_length_b 4.5438
_cell_length_c 5.5876
_cell_angle_alpha 90.00
_cell_angle_beta 90.00
_cell_angle_gamma 90.00
loop_
_atom_site_label
_atom_site_type_symbol
_atom_site_fract_x
_atom_site_fract_y
_atom_site_fract_z
_atom_site_occupancy
Rb1 Rb 0.0000 0.0000 0.0000 1
Sc1 Sc 0.5000 0.5000 0.5000 1
Te1 Te 0.5000 0.5000 0.0000 1
N1 N 0.0000 0.5000 0.5000 1
```

Properties
DOS(E_F), states/eV/f.u.: 3.20
Volume, Å³/cell: 115.4

<Q>
VASP calculation (GGA-PBEsol) on an optimized crystal structure of RbScTeN2.

Structure (CIF):
```
data_RbScTeN2
_chemical_formula_sum 'Rb1 Sc1 Te1 N2'
_space_group_name_H-M_alt 'P 4/m m m'
_space_group_IT_number 123
_space_group_name_Hall '-P 4 2'
_cell_length_a 4.7268
_cell_length_b 4.7268
_cell_length_c 6.5531
_cell_angle_alpha 90.00
_cell_angle_beta 90.00
_cell_angle_gamma 90.00
loop_
_atom_site_label
_atom_site_type_symbol
_atom_site_fract_x
_atom_site_fract_y
_atom_site_fract_z
_atom_site_occupancy
Rb1 Rb 0.0000 0.0000 0.0000 1
Sc1 Sc 0.5000 0.5000 0.5000 1
Te1 Te 0.0000 0.0000 0.5000 1
N1 N 0.0000 0.5000 0.0000 1
```

Properties
DOS(E_F), states/eV/f.u.: 3.05
Volume, Å³/cell: 146.4

Stability, highest: <P>

<P>
VASP calculation (GGA-PBEsol) on an optimized crystal structure of TaRhS2N.

Structure (CIF):
```
data_TaRhS2N
_chemical_formula_sum 'Ta1 Rh1 S2 N1'
_space_group_name_H-M_alt 'P 4/m m m'
_space_group_IT_number 123
_space_group_name_Hall '-P 4 2'
_cell_length_a 4.7870
_cell_length_b 4.7870
_cell_length_c 3.8066
_cell_angle_alpha 90.00
_cell_angle_beta 90.00
_cell_angle_gamma 90.00
loop_
_atom_site_label
_atom_site_type_symbol
_atom_site_fract_x
_atom_site_fract_y
_atom_site_fract_z
_atom_site_occupancy
Ta1 Ta 0.0000 0.0000 0.0000 1
Rh1 Rh 0.5000 0.5000 0.5000 1
S1 S 0.0000 0.5000 0.0000 1
N1 N 0.0000 0.0000 0.5000 1
```

Properties
DOS(E_F), states/eV/f.u.: 6.40
Volume, Å³/cell: 87.2

<Q>
VASP calculation (GGA-PBEsol) on an optimized crystal structure of TaRhS2N.

Structure (CIF):
```
data_TaRhS2N
_chemical_formula_sum 'Ta1 Rh1 S2 N1'
_space_group_name_H-M_alt 'P 4/m m m'
_space_group_IT_number 123
_space_group_name_Hall '-P 4 2'
_cell_length_a 4.6988
_cell_length_b 4.6988
_cell_length_c 3.5469
_cell_angle_alpha 90.00
_cell_angle_beta 90.00
_cell_angle_gamma 90.00
loop_
_atom_site_label
_atom_site_type_symbol
_atom_site_fract_x
_atom_site_fract_y
_atom_site_fract_z
_atom_site_occupancy
Ta1 Ta 0.0000 0.0000 0.0000 1
Rh1 Rh 0.5000 0.5000 0.5000 1
S1 S 0.0000 0.5000 0.5000 1
N1 N 0.5000 0.5000 0.0000 1
```

Properties
DOS(E_F), states/eV/f.u.: 3.80
Volume, Å³/cell: 78.3

Stability, highest: <P>